The following is a DFT calculation (PBE) of a relaxed structure of Rb2CoMo.

Summary:
Space group = Fm-3m (225)
DFT total energy = -3.006 eV per atom
Density = 3.44 g/cm3
Energy of formation from the pure elements = 1962 meV per atom

a = 6.060 Å, b = 6.060 Å, c = 6.060 Å
α = 60.00°, β = 60.00°, γ = 60.00°
Positions (direct):
Rb: 0.250 0.250 0.250
Rb: 0.750 0.750 0.750
Co: 0.000 0.000 0.000
Mo: 0.500 0.500 0.500